VASP calculation (GGA-PBE) on a geometry-optimized CdPNO2 structure. Values from VASP.

uncorrected formation energy = 1.6243 eV per atom
space-group type = P4/mmm
total magnetic moment = 0.2696 μB/atom
D(E_F) = 0.63 states/eV/atom

The structure in Quantum ESPRESSO input format:
```
&SYSTEM
  ibrav = 0, nat = 5, ntyp = 4
/
ATOMIC_SPECIES
P 30.97 P.upf
N 14.01 N.upf
O 16.00 O.upf
Cd 112.41 Cd.upf
ATOMIC_POSITIONS crystal
P 0.000 0.000 0.500
N 0.500 0.500 0.500
O 0.000 0.500 0.000
O 0.500 0.000 0.000
Cd 0.000 0.000 0.000
CELL_PARAMETERS angstrom
-0.223 -3.901 -0.667
3.801 -0.398 1.053
-1.755 -0.924 5.987
```

***

VASP calculation (GGA-PBE) on a geometry-optimized CdPNO2 structure. Values from VASP.

uncorrected formation energy = 0.8322 eV per atom
space-group type = P4/mmm
total magnetic moment = 0.0517 μB/atom
D(E_F) = 0.54 states/eV/atom

The structure in Quantum ESPRESSO input format:
```
&SYSTEM
  ibrav = 0, nat = 5, ntyp = 4
/
ATOMIC_SPECIES
P 30.97 P.upf
N 14.01 N.upf
O 16.00 O.upf
Cd 112.41 Cd.upf
ATOMIC_POSITIONS crystal
P 0.000 0.000 0.500
N 0.000 0.000 0.000
O 0.000 0.500 0.000
O 0.500 0.000 0.000
Cd 0.500 0.500 0.500
CELL_PARAMETERS angstrom
4.235 0.000 0.000
0.000 4.235 0.000
0.000 0.000 3.381
```